[1]
VASP calculation (PBE) on a geometry-optimized Ta2AgAs structure.

a b c (Å): 5.301 5.301 4.724
angles (deg): 65.72 65.72 35.61
Fractional coordinates of all 4 atoms:
Ag1 0.514 0.514 0.517
As1 0.254 0.254 0.206
Ta1 0.751 0.751 0.729
Ta2 0.982 0.982 0.048

## Properties
Volume, Å³ per atom: 17.43
Theoretical density, g/cm3: 12.97
Space-group type: Cm (8)
Total magnetization, Bohr magnetons per cell: 0.0
Crystal system: monoclinic
Formation energy from the elements, eV per atom: 0.17
VASP energy, eV per atom: -7.628
N(E_F), states/eV per cell: 1.58

[2]
VASP calculation (PBE) on a geometry-optimized Ta4AgAs structure.

a b c (Å): 5.485 5.485 5.485
angles (deg): 60.00 60.00 60.00
Fractional coordinates of all 6 atoms:
Ta1 0.873 0.376 0.376
Ag1 0.750 0.750 0.750
Ta2 0.376 0.376 0.873
Ta3 0.376 0.376 0.376
Ta4 0.376 0.873 0.376
As1 0.000 0.000 0.000

## Properties
Volume, Å³ per atom: 19.44
Theoretical density, g/cm3: 12.90
Space-group type: F-43m (216)
Total magnetization, Bohr magnetons per cell: 0.0
Crystal system: cubic
Formation energy from the elements, eV per atom: 0.65
VASP energy, eV per atom: -8.504
N(E_F), states/eV per cell: 5.99